First-principles (PBE) data for a relaxed InSiTe3 crystal, as listed in Alexandria.

a = 5.3544 Å, b = 5.3544 Å, c = 5.3544 Å
α = 90.00°, β = 90.00°, γ = 90.00°
Last column: nearest neighbours and their distance in Å.
Space group Pm-3m (No. 221)
One atom of each set of equivalent atoms:
1 In 0.0000 0.0000 0.0000 x1  12 Te 3.79
2 Si 0.5000 0.5000 0.5000 x1  6 Te 2.68
3 Te 0.0000 0.5000 0.5000 x3  2 Si 2.68

Calculated values
Relative energy among the computed polymorphs   436 meV/atom
Electronic total energy   -3.295 eV per atom
Total magnetization   0.000 μB per formula unit
Formation energy (no corrections)   222 meV per atom